The following is a DFT calculation (GGA-PBE) of an optimized crystal structure of CsVCuCl5.

```
16
Lattice="4.376 -5.866 0.000 4.376 5.866 0.000 -3.499 0.000 8.483" Properties=species:S:1:pos:R:3 pbc="T T T"
Cs 1.751 4.051 6.362
Cs 3.501 -4.051 2.121
V 4.376 0.000 0.000
V 2.626 0.000 4.241
Cu 3.501 3.602 2.121
Cu 1.751 -3.602 6.362
Cl -1.339 0.890 7.829
Cl 2.161 2.217 3.413
Cl 0.410 -0.890 3.588
Cl 4.840 2.217 0.828
Cl 1.751 0.691 6.362
Cl 3.501 -0.691 2.121
Cl 0.412 -2.217 7.654
Cl 4.842 0.890 4.895
Cl 3.091 -2.217 5.070
Cl 6.592 -0.890 0.654
```

Properties
Its density of states at the Fermi level is 0.91 states/eV per atom. Its spin magnetization is 4.0 Bohr magnetons per cell. The space-group type is No. 15. The calculation puts the raw formation energy at -1202 meV per atom.

=====

The following is a DFT calculation (GGA-PBE) of an optimized crystal structure of CsV2CuCl8.

```
12
Lattice="6.537 0.000 0.000 -2.091 7.093 0.000 -2.189 -3.095 7.369" Properties=species:S:1:pos:R:3 pbc="T T T"
Cs 0.000 0.000 0.000
V 0.420 3.720 3.679
V 1.837 0.278 3.690
Cu -1.046 3.546 0.000
Cl -1.402 5.333 3.200
Cl -0.251 1.358 3.270
Cl 0.707 3.752 1.186
Cl -0.589 3.443 5.689
Cl 2.846 0.555 1.680
Cl 1.551 0.246 6.183
Cl 2.508 2.640 4.099
Cl 3.660 -1.336 4.169
```

Properties
Its density of states at the Fermi level is 0.67 states/eV per atom. Its spin magnetization is 4.0 Bohr magnetons per cell. The space-group type is No. 2. The calculation puts the raw formation energy at -1162 meV per atom.